(1)
Below is crystalline EuYTmCd at its relaxed geometry, with properties calculated at the PBE level.

Output
For the total energy, the calculation gives -5.5390 eV per atom. The formation energy is -3 kJ/mol of formula units.

Geometry as CIF:
```
data_EuYTmCd
_chemical_formula_sum 'Eu4 Y4 Tm4 Cd4'
_cell_length_a 7.827
_cell_length_b 7.827
_cell_length_c 7.827
_cell_angle_alpha 90.00
_cell_angle_beta 90.00
_cell_angle_gamma 90.00
_symmetry_space_group_name_H-M 'F -4 3 m'
_symmetry_Int_Tables_number 216
_symmetry_space_group_name_Hall 'F -4 2 3'
loop_
_atom_site_label
_atom_site_type_symbol
_atom_site_fract_x
_atom_site_fract_y
_atom_site_fract_z
Eu1 Eu 0.000 0.000 0.000
Y1 Y 0.000 0.000 0.500
Tm1 Tm 0.250 0.250 0.250
Cd1 Cd 0.250 0.250 0.750
```

---

(2)
Below is crystalline CaYAsPd at its relaxed geometry, with properties calculated at the PBE level.

Output
For the total energy, the calculation gives -5.5001 eV per atom. The formation energy is -356 kJ/mol of formula units.

Geometry as CIF:
```
data_CaYAsPd
_chemical_formula_sum 'Ca4 Y4 As4 Pd4'
_cell_length_a 7.098
_cell_length_b 7.098
_cell_length_c 7.098
_cell_angle_alpha 90.00
_cell_angle_beta 90.00
_cell_angle_gamma 90.00
_symmetry_space_group_name_H-M 'F -4 3 m'
_symmetry_Int_Tables_number 216
_symmetry_space_group_name_Hall 'F -4 2 3'
loop_
_atom_site_label
_atom_site_type_symbol
_atom_site_fract_x
_atom_site_fract_y
_atom_site_fract_z
Ca1 Ca 0.000 0.000 0.000
Y1 Y 0.000 0.000 0.500
As1 As 0.250 0.250 0.750
Pd1 Pd 0.250 0.250 0.250
```

---

(3)
Below is crystalline LaH8W2 at its relaxed geometry, with properties calculated at the PBE level.

Output
For the total energy, the calculation gives -5.3252 eV per atom.

Geometry as CIF:
```
data_LaH8W2
_chemical_formula_sum 'La2 H16 W4'
_cell_length_a 4.834
_cell_length_b 8.495
_cell_length_c 4.793
_cell_angle_alpha 90.00
_cell_angle_beta 90.36
_cell_angle_gamma 90.00
_symmetry_space_group_name_H-M 'C 1 m 1'
_symmetry_Int_Tables_number 8
_symmetry_space_group_name_Hall 'C -2y'
loop_
_atom_site_label
_atom_site_type_symbol
_atom_site_fract_x
_atom_site_fract_y
_atom_site_fract_z
La1 La 0.000 0.000 0.000
H1 H 0.076 0.351 0.876
H2 H 0.189 0.148 0.645
H3 H 0.298 0.500 0.528
H4 H 0.313 0.276 0.257
H5 H 0.402 0.000 0.297
W1 W 0.043 0.335 0.507
```